# Na2LiGaI4 PBE optimized geometry
data_Na2LiGaI4
_chemical_formula_sum 'Na2 Li1 Ga1 I4'
_symmetry_space_group_name_H-M 'P 1 2/m 1'
_symmetry_Int_Tables_number 10
_cell_length_a 7.883
_cell_length_b 4.551
_cell_length_c 7.956
_cell_angle_alpha 90.00
_cell_angle_beta 109.35
_cell_angle_gamma 90.00
loop_
_symmetry_equiv_pos_as_xyz
'x,y,z'
'-x,-y,-z'
'-x,y,-z'
'x,-y,z'
loop_
_atom_site_label
_atom_site_fract_x
_atom_site_fract_y
_atom_site_fract_z
Na1 0.000 0.000 0.000
Na2 0.000 0.500 0.500
Li1 0.500 0.000 0.500
Ga1 0.500 0.500 0.000
I1 0.253 0.000 0.736
I2 0.260 0.500 0.265
# DOS(E_F) in states/eV/atom: 0.000
# Total moment in μB per atom: 0.00
# Uncorrected formation energy in eV/atom: -0.991